VASP calculation (PBE) on a relaxed CsIn2Ag crystal.

Cell and atoms, written as POSCAR:
```
CsIn2Ag
1.0
2.392 -7.082 0.000
2.392 7.082 0.000
0.000 0.000 8.418
Cs In Ag
2 4 2
Cartesian
2.392 6.603 6.314
2.392 -6.603 2.105
2.392 2.655 4.742
2.392 2.655 7.885
2.392 -2.655 0.533
2.392 -2.655 3.676
2.392 3.796 2.105
2.392 -3.796 6.314
```

Values from the calculation:
M_tot: 0.0 μB/cell
Symmetry: No. 63
Calculated total energy: -0.0875 Ha/atom